## MoSe2N2 (PBE-GGA)

Data for an optimized crystal structure of MoSe2N2.

The calculated total energy is -6.41 eV/atom. As for the offset from the most stable computed form: 0.727 eV/atom. The value obtained for the raw formation energy is 2.38 eV/f.u.

The space group is I4/mmm (No. 139) and the conventional cell measures 5.396, 5.396 and 5.293 Å, with angles of 90.00, 90.00 and 90.00 degrees. The asymmetric unit holds Mo at (0.000, 0.000, 0.000), Se at (0.000, 0.500, 0.250) and N at (0.000, 0.000, 0.391).

## MoSeN3 (PBE-GGA)

Data for an optimized crystal structure of MoSeN3.

The calculated total energy is -6.66 eV/atom. The value obtained for the raw formation energy is 5.97 eV/f.u.

The space group is Pm-3m (No. 221) and the conventional cell measures 3.978, 3.978 and 3.978 Å, with angles of 90.00, 90.00 and 90.00 degrees. The asymmetric unit holds Mo at (0.000, 0.000, 0.000), Se at (0.500, 0.500, 0.500) and N at (0.000, 0.000, 0.500).

What did the second record say?
## MoSeN3 (PBE-GGA)

Data for an optimized crystal structure of MoSeN3.

The calculated total energy is -6.66 eV/atom. The value obtained for the raw formation energy is 5.97 eV/f.u.

The space group is Pm-3m (No. 221) and the conventional cell measures 3.978, 3.978 and 3.978 Å, with angles of 90.00, 90.00 and 90.00 degrees. The asymmetric unit holds Mo at (0.000, 0.000, 0.000), Se at (0.500, 0.500, 0.500) and N at (0.000, 0.000, 0.500).